Here is a geometry-optimized BiSbTe2H structure from Alexandria via LeMat-Bulk. Energies are from PBE.

Unit cell a=5.562 b=5.562 c=3.919 alpha=90.00 beta=90.00 gamma=90.00
Sites, in units of the cell vectors:
Sb 0.000 0.000 0.500
Te 0.000 0.500 0.000
Te 0.500 0.000 0.000
Bi 0.500 0.500 0.500
H 0.000 0.000 0.000

The energy above the lowest structure with this stoichiometry comes out at 0.0 meV/atom. For the total energy, the calculation gives -3.215 eV/atom. The space group is P4/mmm, No. 123.